Entry 1:
Compound: LaHoEr2
Source: Alexandria
Functional: GGA-PBE
Structure: optimized geometry

DOS(E_F) in states/eV/cell: 6.7
Crystal system: tetragonal
Energy relative to the lowest polymorph listed for this composition in eV per atom: 0.027
Calculated formation energy in eV/f.u.: 0.1

a b c (Å): 5.043 5.067 5.067
angles (deg): 90.00 90.00 90.00
Element x y z (fractional)
Er (0.000, 0.500, 0.000)
Er (0.000, 0.000, 0.500)
Ho (0.500, 0.500, 0.500)
La (0.500, 0.000, 0.000)

---

Entry 2:
Compound: LaHoEr4
Source: Alexandria
Functional: GGA-PBE
Structure: optimized geometry

DOS(E_F) in states/eV/cell: 20.8
Crystal system: monoclinic
Energy relative to the lowest polymorph listed for this composition in eV per atom: 0.000
Calculated formation energy in eV/f.u.: 0.9

a b c (Å): 6.403 9.057 8.576
angles (deg): 112.53 99.69 112.83
Element x y z (fractional)
Er (0.193, 0.574, 0.732)
Er (0.365, 0.899, 0.610)
Er (0.635, 0.101, 0.390)
Er (0.039, 0.158, 0.732)
Er (0.807, 0.426, 0.268)
Er (0.961, 0.842, 0.268)
Er (0.745, 0.712, 0.610)
Er (0.255, 0.288, 0.390)
Ho (0.249, 0.999, 0.997)
Ho (0.751, 0.001, 0.003)
La (0.333, 0.583, 0.165)
La (0.667, 0.417, 0.835)

---

Entry 3:
Compound: La2HoEr2
Source: Alexandria
Functional: GGA-PBE
Structure: optimized geometry

DOS(E_F) in states/eV/cell: 16.3
Crystal system: monoclinic
Energy relative to the lowest polymorph listed for this composition in eV per atom: 0.216
Calculated formation energy in eV/f.u.: 1.2

a b c (Å): 8.881 6.534 6.534
angles (deg): 95.32 105.31 105.31
Element x y z (fractional)
Ho (0.750, 0.209, 0.791)
Ho (0.250, 0.791, 0.209)
La (0.860, 0.753, 0.926)
La (0.640, 0.074, 0.247)
La (0.360, 0.926, 0.753)
La (0.140, 0.247, 0.074)
Er (0.000, 0.000, 0.500)
Er (0.500, 0.500, 0.500)
Er (0.500, 0.500, 0.000)
Er (0.000, 0.500, 0.500)

---

Entry 4:
Compound: La3Ho7Er
Source: Alexandria
Functional: GGA-PBE
Structure: optimized geometry

DOS(E_F) in states/eV/cell: 17.8
Crystal system: triclinic
Calculated formation energy in eV/f.u.: 1.3

a b c (Å): 6.726 6.544 8.625
angles (deg): 81.77 80.07 95.28
Element x y z (fractional)
Ho (0.000, 0.500, 0.500)
Ho (0.730, 0.989, 0.577)
Ho (0.270, 0.011, 0.423)
Ho (0.708, 0.564, 0.852)
Ho (0.225, 0.714, 0.788)
Ho (0.292, 0.436, 0.148)
Ho (0.775, 0.286, 0.212)
La (0.940, 0.805, 0.167)
La (0.060, 0.195, 0.833)
La (0.500, 0.000, 0.000)
Er (0.500, 0.500, 0.500)

---

Entry 5:
Compound: LaHoEr6
Source: Alexandria
Functional: GGA-PBE
Structure: optimized geometry

DOS(E_F) in states/eV/cell: 11.5
Crystal system: trigonal
Energy relative to the lowest polymorph listed for this composition in eV per atom: 0.382
Calculated formation energy in eV/f.u.: 4.7

a b c (Å): 8.687 8.687 6.605
angles (deg): 48.88 48.88 60.00
Element x y z (fractional)
Er (0.156, 0.519, 0.169)
Er (0.844, 0.844, 0.831)
Er (0.844, 0.481, 0.831)
Er (0.156, 0.156, 0.169)
Er (0.481, 0.844, 0.831)
Er (0.519, 0.156, 0.169)
La (0.000, 0.000, 0.000)
Ho (0.500, 0.500, 0.500)

---

Entry 6:
Compound: LaHo3Er8
Source: Alexandria
Functional: GGA-PBE
Structure: optimized geometry

DOS(E_F) in states/eV/cell: 16.2
Crystal system: orthorhombic
Calculated formation energy in eV/f.u.: 3.9

a b c (Å): 8.600 8.600 8.600
angles (deg): 97.74 136.76 97.87
Element x y z (fractional)
Er (0.829, 0.080, 0.251)
Er (0.171, 0.920, 0.749)
Er (0.829, 0.578, 0.749)
Er (0.504, 0.258, 0.246)
Er (0.171, 0.422, 0.251)
Er (0.013, 0.258, 0.754)
Er (0.987, 0.742, 0.246)
Er (0.496, 0.742, 0.754)
Ho (0.500, 0.741, 0.241)
Ho (0.000, 0.500, 0.500)
Ho (0.500, 0.259, 0.759)
La (0.000, 0.000, 0.000)

---

Entry 7:
Compound: La8Ho4Er
Source: Alexandria
Functional: GGA-PBE
Structure: optimized geometry

DOS(E_F) in states/eV/cell: 16.8
Crystal system: trigonal
Calculated formation energy in eV/f.u.: 2.2

a b c (Å): 7.213 7.213 10.914
angles (deg): 90.00 109.29 120.00
Element x y z (fractional)
Ho (0.500, 0.500, 0.000)
Ho (0.500, 0.000, 0.000)
Ho (0.000, 0.000, 0.000)
Ho (0.000, 0.500, 0.000)
La (0.038, 0.248, 0.285)
La (0.962, 0.210, 0.715)
La (0.962, 0.752, 0.715)
La (0.038, 0.790, 0.285)
La (0.581, 0.791, 0.372)
La (0.495, 0.248, 0.285)
La (0.419, 0.209, 0.628)
La (0.505, 0.752, 0.715)
Er (0.000, 0.500, 0.500)

---

Entry 8:
Compound: La2Ho2Er5
Source: Alexandria
Functional: GGA-PBE
Structure: optimized geometry

DOS(E_F) in states/eV/cell: 13.6
Crystal system: monoclinic
Calculated formation energy in eV/f.u.: 1.9

a b c (Å): 3.479 8.246 12.493
angles (deg): 120.15 98.00 90.00
Element x y z (fractional)
Ho (0.454, 0.264, 0.908)
Ho (0.546, 0.736, 0.092)
Er (0.905, 0.540, 0.811)
Er (0.000, 0.000, 0.000)
Er (0.691, 0.847, 0.382)
Er (0.309, 0.153, 0.618)
Er (0.095, 0.460, 0.189)
La (0.820, 0.782, 0.640)
La (0.180, 0.218, 0.360)

---

Entry 9:
Compound: La3Ho6Er
Source: Alexandria
Functional: GGA-PBE
Structure: optimized geometry

DOS(E_F) in states/eV/cell: 28.7
Crystal system: orthorhombic
Energy relative to the lowest polymorph listed for this composition in eV per atom: 0.000
Calculated formation energy in eV/f.u.: 1.5

a b c (Å): 6.340 11.004 11.004
angles (deg): 119.78 90.00 90.00
Element x y z (fractional)
Ho (0.641, 0.275, 0.725)
Ho (0.547, 0.286, 0.379)
Ho (0.382, 0.961, 0.039)
Ho (0.870, 0.468, 0.047)
Ho (0.870, 0.953, 0.532)
Ho (0.370, 0.532, 0.953)
Ho (0.882, 0.039, 0.961)
Ho (0.047, 0.714, 0.621)
Ho (0.047, 0.379, 0.286)
Ho (0.370, 0.047, 0.468)
Ho (0.547, 0.621, 0.714)
Ho (0.141, 0.725, 0.275)
La (0.467, 0.286, 0.060)
La (0.568, 0.612, 0.388)
La (0.068, 0.388, 0.612)
La (0.467, 0.940, 0.714)
La (0.967, 0.060, 0.286)
La (0.967, 0.714, 0.940)
Er (0.626, 0.804, 0.196)
Er (0.126, 0.196, 0.804)

---

Entry 10:
Compound: La4Ho6Er
Source: Alexandria
Functional: GGA-PBE
Structure: optimized geometry

DOS(E_F) in states/eV/cell: 15.2
Crystal system: tetragonal
Calculated formation energy in eV/f.u.: 3.2

a b c (Å): 9.725 9.725 9.725
angles (deg): 58.76 139.40 139.40
Element x y z (fractional)
La (0.380, 0.367, 0.367)
La (0.000, 0.633, 0.013)
La (0.000, 0.013, 0.633)
La (0.620, 0.987, 0.987)
Ho (0.000, 0.793, 0.443)
Ho (0.000, 0.443, 0.793)
Ho (0.650, 0.207, 0.207)
Ho (0.350, 0.557, 0.557)
Ho (0.500, 0.500, 0.000)
Ho (0.500, 0.000, 0.500)
Er (0.000, 0.000, 0.000)

---

Repeat the second record exactly.
Compound: LaHoEr4
Source: Alexandria
Functional: GGA-PBE
Structure: optimized geometry

DOS(E_F) in states/eV/cell: 20.8
Crystal system: monoclinic
Energy relative to the lowest polymorph listed for this composition in eV per atom: 0.000
Calculated formation energy in eV/f.u.: 0.9

a b c (Å): 6.403 9.057 8.576
angles (deg): 112.53 99.69 112.83
Element x y z (fractional)
Er (0.193, 0.574, 0.732)
Er (0.365, 0.899, 0.610)
Er (0.635, 0.101, 0.390)
Er (0.039, 0.158, 0.732)
Er (0.807, 0.426, 0.268)
Er (0.961, 0.842, 0.268)
Er (0.745, 0.712, 0.610)
Er (0.255, 0.288, 0.390)
Ho (0.249, 0.999, 0.997)
Ho (0.751, 0.001, 0.003)
La (0.333, 0.583, 0.165)
La (0.667, 0.417, 0.835)

---

Question: Which of these has the lowest calculated formation energy?
Answer: LaHoEr2